NaBePPd after structural relaxation, computed with PBE.

Output
The value obtained for the formation energy is -0.232 eV per atom. For the mass density, the calculation gives 4.3 g cm⁻³.

Lattice parameters (Å, degrees): 3.6413 3.0040 6.1523 104.13 90.00 90.00
Closest atoms and distances in Å follow each position.
Sites, in units of the cell vectors:
Na  0.5000  0.2860  0.5720  4 P 2.98, 2 Na 3.00, 3 Be 3.04-3.29, 4 Pd 3.23
Be  0.5000  0.5406  0.0813  2 P 2.13
P  0.0000  0.6333  0.2666  2 Be 2.13
Pd  0.0000  0.9704  0.9408  2 P 2.46, 4 Be 2.50